[1]
A relaxed structure of UCoIr2, computed with PBE. Values from VASP.

Summary:
Total DFT energy (no corrections) in eV/cell: -36.39
Total magnetization in μB per cell: 0.73
DOS at the Fermi energy in states/eV/atom: 1.918
Density in g/cm3: 16.87

```
&SYSTEM
  ibrav = 0, nat = 4, ntyp = 3
/
ATOMIC_SPECIES
U 238.03 U.upf
Co 58.93 Co.upf
Ir 192.22 Ir.upf
CELL_PARAMETERS angstrom
2.2782 1.3153 3.7309
-2.2782 1.3153 3.7309
0.0000 -2.6306 3.7309
ATOMIC_POSITIONS crystal
U 0.0000 0.0000 0.0000
Co 0.5000 0.5000 0.5000
Ir 0.2645 0.2645 0.2645
Ir 0.7355 0.7355 0.7355
```

[2]
A relaxed structure of La2VH, computed with PBE. Values from VASP.

Summary:
Total magnetization in μB per cell: 2.61
DOS at the Fermi energy in states/eV/atom: 0.996
Density in g/cm3: 6.03
Polymorph energy (0 for the lowest one) in meV per atom: 10

```
&SYSTEM
  ibrav = 0, nat = 4, ntyp = 3
/
ATOMIC_SPECIES
La 138.91 La.upf
V 50.94 V.upf
H 1.01 H.upf
CELL_PARAMETERS angstrom
0.0000 3.5681 3.5681
3.5681 0.0000 3.5681
3.5681 3.5681 0.0000
ATOMIC_POSITIONS crystal
La 0.2500 0.2500 0.2500
La 0.7500 0.7500 0.7500
V 0.0000 0.0000 0.0000
H 0.5000 0.5000 0.5000
```

[3]
A relaxed structure of HfTcRu3, computed with PBE. Values from VASP.

Summary:
Total magnetization in μB per cell: 0.00
DOS at the Fermi energy in states/eV/atom: 1.059
Density in g/cm3: 9.93
Polymorph energy (0 for the lowest one) in meV per atom: 0

```
&SYSTEM
  ibrav = 0, nat = 5, ntyp = 3
/
ATOMIC_SPECIES
Hf 178.49 Hf.upf
Tc 98.00 Tc.upf
Ru 101.07 Ru.upf
CELL_PARAMETERS angstrom
4.5943 0.0000 0.0000
0.0000 4.5943 0.0000
0.0000 0.0000 4.5943
ATOMIC_POSITIONS crystal
Hf 0.0000 0.0000 0.0000
Tc 0.5000 0.5000 0.5000
Ru 0.0000 0.5000 0.5000
Ru 0.5000 0.0000 0.5000
Ru 0.5000 0.5000 0.0000
```

[4]
A relaxed structure of Ba2CuTe, computed with PBE. Values from VASP.

Summary:
Total magnetization in μB per cell: 1.76
DOS at the Fermi energy in states/eV/atom: 0.616
Density in g/cm3: 4.53
Formation energy without anion corrections in eV per atom: -0.583

```
&SYSTEM
  ibrav = 0, nat = 8, ntyp = 3
/
ATOMIC_SPECIES
Ba 137.33 Ba.upf
Cu 63.55 Cu.upf
Te 127.60 Te.upf
CELL_PARAMETERS angstrom
-4.3717 4.3717 4.4696
4.3717 -4.3717 4.4696
4.3717 4.3717 -4.4696
ATOMIC_POSITIONS crystal
Ba 0.1048 0.6250 0.9798
Ba 0.3750 0.3548 0.4798
Ba 0.6452 0.1250 0.0202
Ba 0.8750 0.8952 0.5202
Cu 0.0000 0.0000 0.0000
Cu 0.7500 0.2500 0.5000
Te 0.2500 0.7500 0.5000
Te 0.5000 0.5000 0.0000
```

[5]
A relaxed structure of Pm2Al4CuIr3, computed with PBE. Values from VASP.

Summary:
Total DFT energy (no corrections) in eV/cell: -62.65
Total magnetization in μB per cell: 0.00
DOS at the Fermi energy in states/eV/atom: 0.640
Density in g/cm3: 9.30

```
&SYSTEM
  ibrav = 0, nat = 10, ntyp = 4
/
ATOMIC_SPECIES
Pm 145.00 Pm.upf
Al 26.98 Al.upf
Cu 63.55 Cu.upf
Ir 192.22 Ir.upf
CELL_PARAMETERS angstrom
4.2110 0.0000 0.0000
0.0000 4.2110 0.0000
0.0000 0.0000 10.4483
ATOMIC_POSITIONS crystal
Pm 0.0000 0.5000 0.2465
Pm 0.5000 0.0000 0.7535
Al 0.0000 0.0000 0.5000
Al 0.0000 0.5000 0.8766
Al 0.5000 0.0000 0.1234
Al 0.5000 0.5000 0.5000
Cu 0.5000 0.5000 0.0000
Ir 0.0000 0.0000 0.0000
Ir 0.0000 0.5000 0.6357
Ir 0.5000 0.0000 0.3643
```

[6]
A relaxed structure of Pm6Ga3O, computed with PBE. Values from VASP.

Summary:
Total magnetization in μB per cell: 0.00
DOS at the Fermi energy in states/eV/atom: 0.966
Density in g/cm3: 6.98
Formation energy without anion corrections in eV per atom: -0.844

```
&SYSTEM
  ibrav = 0, nat = 20, ntyp = 3
/
ATOMIC_SPECIES
Pm 145.00 Pm.upf
Ga 69.72 Ga.upf
O 16.00 O.upf
CELL_PARAMETERS angstrom
6.5341 0.0000 0.0000
0.0000 8.0220 0.0000
-5.6170 0.0000 9.9365
ATOMIC_POSITIONS crystal
Pm 0.0812 0.0513 0.2333
Pm 0.0812 0.4487 0.7333
Pm 0.1836 0.7138 0.0616
Pm 0.1836 0.7862 0.5616
Pm 0.3886 0.1519 0.0541
Pm 0.3886 0.3481 0.5541
Pm 0.6114 0.6519 0.4459
Pm 0.6114 0.8481 0.9459
Pm 0.8164 0.2138 0.4384
Pm 0.8164 0.2862 0.9384
Pm 0.9188 0.5513 0.2667
Pm 0.9188 0.9487 0.7667
Ga 0.3205 0.1157 0.7416
Ga 0.3205 0.3843 0.2416
Ga 0.5000 0.0000 0.5000
Ga 0.5000 0.5000 0.0000
Ga 0.6795 0.6157 0.7584
Ga 0.6795 0.8843 0.2584
O 0.0000 0.0000 0.0000
O 0.0000 0.5000 0.5000
```